Entry from Alexandria via LeMat-Bulk: crystalline Sr2CeCoO6 at its relaxed geometry (PBE+U).

Output
- theoretical density (g/cm3) = 5.77
- D(E_F) (states/eV per atom) = 0.521
- ΔE to the lowest computed polymorph (eV/f.u.) = 0.52

Cell: 5.763 5.763 5.763 Å, 60.00 60.00 60.00°
Last column: magnetic moment on the atom in μB.
Positions (direct):
O: 0.269 0.731 0.731  0.03
O: 0.731 0.731 0.269  0.03
O: 0.731 0.269 0.269  0.03
O: 0.269 0.269 0.731  0.03
Co: 0.500 0.500 0.500  0.81
O: 0.269 0.731 0.269  0.03
Sr: 0.250 0.250 0.250  0.00
Sr: 0.750 0.750 0.750  0.00
O: 0.731 0.269 0.731  0.03
Ce: 0.000 0.000 0.000  -0.06